[1]
This record from Alexandria via LeMat-Bulk describes a relaxed structure of RbYP2Pt4. The functional is PBE-GGA.

abc: 4.044 4.044 10.998
angles: 90.00 90.00 90.00
Fractional coordinates of all 8 atoms:
Rb  0.000  0.000  0.500
Y  0.000  0.000  0.000
P  0.500  0.500  0.304
P  0.500  0.500  0.696
Pt  0.000  0.500  0.196
Pt  0.500  0.000  0.804
Pt  0.500  0.000  0.196
Pt  0.000  0.500  0.804

## Properties
* ΔH_f (0 K): -742 meV per atom
* raw total energy: -6.04 eV/atom


[2]
This record from Alexandria via LeMat-Bulk describes a relaxed structure of Tl2SbOsO. The functional is PBE-GGA.

abc: 5.282 4.949 5.282
angles: 90.00 90.00 90.00
Fractional coordinates of all 5 atoms:
Sb  0.000  0.500  0.000
Tl  0.000  0.000  0.500
Tl  0.500  0.000  0.000
Os  0.000  0.000  0.000
O  0.500  0.500  0.500

## Properties
* raw total energy: -4.43 eV/atom
* uncorrected formation energy: 575.5 meV per atom


no.,mass density (g cm⁻³)
1,9.38
2,8.86